Material: AgBiPt2
Method: DFT, PBE-GGA
State: relaxed

It has space group P4/mmm (No. 123), with a = 3.601 Å, b = 3.601 Å, c = 5.874 Å, α = 90.00°, β = 90.00° and γ = 90.00°. The distinct sites, in fractional coordinates, are Ag at (0.000, 0.000, 0.000), Bi at (0.000, 0.000, 0.500) and Pt at (0.500, 0.500, 0.238).

=====

Material: AgBi12Pt7
Method: DFT, PBE-GGA
State: relaxed

It has space group R-3 (No. 148, hexagonal axes), with a = 12.9196 Å, b = 12.9196 Å, c = 11.1647 Å, α = 90.00°, β = 90.00° and γ = 120.00°. The distinct sites, in fractional coordinates, are Ag at (0.0000, 0.0000, 0.0000), Bi at (0.0430, 0.1959, 0.3578), Bi at (0.0450, 0.5935, 0.6396), Pt at (0.0000, 0.0000, 0.5000) and Pt at (0.0348, 0.1496, 0.8086).

=====

Material: AgBi6Pt
Method: DFT, PBE-GGA
State: relaxed

It has space group R-3 (No. 148, hexagonal axes), with a = 7.1753 Å, b = 7.1753 Å, c = 15.7024 Å, α = 90.00°, β = 90.00° and γ = 120.00°. The distinct sites, in fractional coordinates, are Ag at (0.0000, 0.0000, 0.0000), Bi at (0.0179, 0.7234, 0.2502) and Pt at (0.0000, 0.0000, 0.5000).

=====

Material: AgBiPt2
Method: DFT, PBE-GGA
State: relaxed

It has space group I-42d (No. 122), with a = 7.567 Å, b = 7.567 Å, c = 5.669 Å, α = 90.00°, β = 90.00° and γ = 90.00°. The distinct sites, in fractional coordinates, are Ag at (0.000, 0.000, 0.000), Bi at (0.000, 0.000, 0.500) and Pt at (0.249, 0.750, 0.625).

=====

Material: AgBi2Pt2
Method: DFT, PBE-GGA
State: relaxed

It has space group P4/mbm (No. 127), with a = 8.056 Å, b = 8.056 Å, c = 3.477 Å, α = 90.00°, β = 90.00° and γ = 90.00°. The distinct sites, in fractional coordinates, are Ag at (0.000, 0.000, 0.000), Bi at (0.164, 0.336, 0.000) and Pt at (0.131, 0.631, 0.500).

For the distance to the lowest polymorph of the same formula, the calculation gives 17.5 kJ per mole of atoms.

=====

Material: AgBiPt4
Method: DFT, PBE-GGA
State: relaxed

It has space group F-43m (No. 216), with a = 7.640 Å, b = 7.640 Å, c = 7.640 Å, α = 90.00°, β = 90.00° and γ = 90.00°. The distinct sites, in fractional coordinates, are Ag at (0.000, 0.000, 0.000), Bi at (0.250, 0.250, 0.250) and Pt at (0.125, 0.125, 0.625).

=====

Material: PuAgBiPt
Method: DFT, PBE-GGA
State: relaxed

It has space group F-43m (No. 216), with a = 7.114 Å, b = 7.114 Å, c = 7.114 Å, α = 90.00°, β = 90.00° and γ = 90.00°. The distinct sites, in fractional coordinates, are Pu at (0.000, 0.000, 0.000), Ag at (0.250, 0.250, 0.750), Bi at (0.000, 0.000, 0.500) and Pt at (0.250, 0.250, 0.250).

=====

Material: SmAgBiPt
Method: DFT, PBE-GGA
State: relaxed

It has space group F-43m (No. 216), with a = 7.141 Å, b = 7.141 Å, c = 7.141 Å, α = 90.00°, β = 90.00° and γ = 90.00°. The distinct sites, in fractional coordinates, are Sm at (0.000, 0.000, 0.000), Ag at (0.250, 0.250, 0.250), Bi at (0.000, 0.000, 0.500) and Pt at (0.250, 0.250, 0.750).

=====

Calculated values (eV/atom) of E_form for the records, taken in order: -0.0269 -0.0671 -0.0101 0.1255 0.0805 -0.0571 -0.2659 -0.5275.
Calculated values (μB/atom) of magnetization for the records, taken in order: 0.00 0.00 0.00 0.00 0.00 0.00 1.38 0.00.